Computed, not measured: a geometry-optimized CdOsF2 structure at the PBE level of DFT.

Cell lengths 6.4275, 6.4275, 5.3334 Å; angles 52.95, 52.95, 90.00 degrees
Closest atoms and distances in Å follow each position.
Element x y z (fractional)
F (0.6776, 0.1250, 0.2500)  2 Os 2.16
F (0.0724, 0.6250, 0.2500)  2 Os 2.16
F (0.3750, 0.3224, 0.7500)  2 Os 2.16
F (0.8750, 0.9276, 0.7500)  2 Os 2.16
Os (0.0000, 0.0000, 0.0000)  4 F 2.16
Os (0.7500, 0.2500, 0.5000)  4 F 2.16
Cd (0.5000, 0.5000, 0.0000)  8 F 2.62-2.93, 2 Os 2.79
Cd (0.2500, 0.7500, 0.5000)  8 F 2.62-2.93, 2 Os 2.79

Results
- Formation energy (no corrections): 1 meV per atom
- Offset from the most stable computed form: 3.41 eV per formula unit
- Space-group type: I-42d
- Magnetic moment: 0.00 μB per formula unit
- Density of states at the Fermi level: 3.8 states/eV/f.u.
- Calculated total energy: -15.88 eV/f.u.

=====

Computed, not measured: a geometry-optimized CdOsF2 structure at the PBE level of DFT.

Cell lengths 8.9809, 8.9809, 8.9809 Å; angles 17.85, 17.85, 17.85 degrees
Closest atoms and distances in Å follow each position.
Element x y z (fractional)
F (0.9272, 0.9272, 0.9272)  1 Os 1.93
F (0.0728, 0.0728, 0.0728)  1 Os 1.93
Os (0.0000, 0.0000, 0.0000)  2 F 1.93
Cd (0.5000, 0.5000, 0.5000)  6 Cd 2.79, 6 F 2.96

Results
- Formation energy (no corrections): -851 meV per atom
- Offset from the most stable computed form: 0.00 eV per formula unit
- Space-group type: R-3m
- Magnetic moment: 0.58 μB per formula unit
- Density of states at the Fermi level: 2.9 states/eV/f.u.
- Calculated total energy: -19.29 eV/f.u.

=====

Computed, not measured: a geometry-optimized Cd3OsF structure at the PBE level of DFT.

Cell lengths 4.5350, 4.5350, 4.5350 Å; angles 90.00, 90.00, 90.00 degrees
Closest atoms and distances in Å follow each position.
Element x y z (fractional)
F (0.0000, 0.0000, 0.0000)  6 Cd 2.27
Os (0.5000, 0.5000, 0.5000)  12 Cd 3.21
Cd (0.0000, 0.5000, 0.0000)  2 F 2.27
Cd (0.0000, 0.0000, 0.5000)  2 F 2.27
Cd (0.5000, 0.0000, 0.0000)  2 F 2.27

Results
- Formation energy (no corrections): 254 meV per atom
- Offset from the most stable computed form: 0.00 eV per formula unit
- Space-group type: Pm-3m
- Magnetic moment: 1.00 μB per formula unit
- Density of states at the Fermi level: 0.9 states/eV/f.u.
- Calculated total energy: -14.58 eV/f.u.

=====

Computed, not measured: a geometry-optimized CdOs3F structure at the PBE level of DFT.

Cell lengths 4.2828, 4.2828, 4.2828 Å; angles 90.00, 90.00, 90.00 degrees
Closest atoms and distances in Å follow each position.
Element x y z (fractional)
F (0.0000, 0.0000, 0.0000)  6 Os 2.14
Os (0.0000, 0.5000, 0.0000)  2 F 2.14
Os (0.0000, 0.0000, 0.5000)  2 F 2.14
Os (0.5000, 0.0000, 0.0000)  2 F 2.14
Cd (0.5000, 0.5000, 0.5000)  12 Os 3.03

Results
- Formation energy (no corrections): 1673 meV per atom
- Offset from the most stable computed form: 0.00 eV per formula unit
- Space-group type: Pm-3m
- Magnetic moment: 0.93 μB per formula unit
- Density of states at the Fermi level: 7.6 states/eV/f.u.
- Calculated total energy: -28.11 eV/f.u.

=====

> Look up the density of states at the Fermi level of the first one.

3.8 states/eV/f.u.

=====

> Look up the density of states at the Fermi level of the fourth one.

7.6 states/eV/f.u.

=====

> Which of these has the lowest formation energy (no corrections)?

number 2

=====

> Number 3 is which compound?

Cd3OsF